MnCuGeIr (PBE-GGA, optimized geometry); energy of formation from the pure elements = -28 kJ/mol of formula units; symmetry = No. 216; M_tot = 3.49 μB per formula unit; DOS at the Fermi energy = 0.734 states/eV/atom
1.0
-3.993 -0.622 1.344
-2.763 -2.126 -2.446
-1.283 -3.900 1.132
Cu Mn Ir Ge
1 1 1 1
Cartesian
-6.030 -4.986 0.022
0.000 0.000 0.000
-4.020 -3.324 0.015
-2.010 -1.662 0.007